Record 1
Compound: GaCuH2
Source: Alexandria
Functional: PBE
Structure: relaxed

Cell: 5.061 5.061 5.047 Å, 59.91 59.91 90.00°
Sites, in units of the cell vectors:
H1 0.485 0.125 0.250
H2 0.265 0.625 0.250
H3 0.375 0.515 0.750
H4 0.875 0.735 0.750
Cu1 0.500 0.500 0.000
Cu2 0.250 0.750 0.500
Ga1 0.000 0.000 0.000
Ga2 0.750 0.250 0.500

Values from the calculation:
Crystal system = tetragonal
Calculated total energy = -25.4 eV per cell
Space-group type = I-42d (122)

=====

Record 2
Compound: CsRb2SI
Source: Alexandria
Functional: PBE
Structure: relaxed

Cell: 6.346 6.346 6.719 Å, 90.00 90.00 90.00°
Sites, in units of the cell vectors:
Cs1 0.000 0.000 0.500
I1 0.500 0.500 0.500
S1 0.000 0.000 0.000
Rb1 0.000 0.500 0.000
Rb2 0.500 0.000 0.000

Values from the calculation:
Crystal system = tetragonal
ΔE_f (raw) = -1.13 eV per atom
Calculated total energy = -14.1 eV per cell
Space-group type = P4/mmm (123)

=====

Record 3
Compound: Th3Zn4Hg2
Source: Alexandria
Functional: PBE
Structure: relaxed

Cell: 4.734 5.953 8.906 Å, 113.49 90.00 113.43°
Sites, in units of the cell vectors:
Th1 0.662 0.325 0.673
Th2 0.000 0.000 0.000
Th3 0.338 0.675 0.327
Zn1 0.737 0.473 0.061
Zn2 0.263 0.527 0.939
Zn3 0.952 0.905 0.613
Zn4 0.048 0.095 0.387
Hg1 0.621 0.242 0.284
Hg2 0.379 0.758 0.716

Values from the calculation:
Crystal system = monoclinic
Calculated total energy = -30.3 eV per cell
Space-group type = C2/m (12)
E_form = -2.4 eV/f.u.

=====

Record 4
Compound: Mg2HgRh
Source: Alexandria
Functional: PBE
Structure: relaxed

Cell: 4.107 4.107 9.789 Å, 77.89 77.89 90.00°
Sites, in units of the cell vectors:
Mg1 0.606 0.125 0.250
Mg2 0.144 0.625 0.250
Mg3 0.375 0.394 0.750
Mg4 0.875 0.856 0.750
Rh1 0.500 0.500 0.000
Rh2 0.250 0.750 0.500
Hg1 0.000 0.000 0.000
Hg2 0.750 0.250 0.500

Values from the calculation:
Crystal system = tetragonal
Calculated total energy = -21.3 eV per cell
Space-group type = I-42d (122)
E_form = 0.2 eV/f.u.

=====

Record 5
Compound: Pm2As4Ir3Pd
Source: Alexandria
Functional: PBE
Structure: relaxed

Cell: 4.374 4.374 9.843 Å, 90.00 90.00 90.00°
Sites, in units of the cell vectors:
Pm1 0.500 0.000 0.247
Pm2 0.000 0.500 0.753
As1 0.500 0.500 0.000
As2 0.000 0.000 0.000
As3 0.500 0.000 0.636
As4 0.000 0.500 0.364
Ir1 0.000 0.000 0.500
Ir2 0.500 0.000 0.883
Ir3 0.000 0.500 0.117
Pd1 0.500 0.500 0.500

Values from the calculation:
Crystal system = tetragonal
Calculated total energy = -67.6 eV per cell
Space-group type = P-4m2 (115)
E_form = -7.7 eV/f.u.

=====

Record 6
Compound: BaBi2AuI
Source: Alexandria
Functional: PBE
Structure: relaxed

Cell: 5.496 6.920 5.496 Å, 90.00 90.00 90.00°
Last column: magnetic moment on the atom in μB.
Sites, in units of the cell vectors:
I1 0.500 0.500 0.500  0.02
Au1 0.000 0.000 0.000  0.02
Bi1 0.000 0.000 0.500  0.09
Bi2 0.500 0.000 0.000  0.16
Ba1 0.000 0.500 0.000  0.01

Values from the calculation:
Crystal system = tetragonal
ΔE_f (raw) = -0.33 eV per atom
Calculated total energy = -16.2 eV per cell
Space-group type = P4/mmm (123)

=====

Record 7
Compound: ZnNiBr2
Source: Alexandria
Functional: PBE
Structure: relaxed

Cell: 3.481 3.481 7.433 Å, 90.00 90.00 90.00°
Sites, in units of the cell vectors:
Br1 0.000 0.000 0.888
Br2 0.500 0.500 0.351
Ni1 0.000 0.000 0.576
Zn1 0.500 0.500 0.685

Values from the calculation:
Crystal system = tetragonal
ΔE_f (raw) = -0.06 eV per atom
Calculated total energy = -10.7 eV per cell
Space-group type = P4mm (99)

=====

Record 8
Compound: K2LiTaBr6
Source: Alexandria
Functional: PBE
Structure: relaxed

Cell: 7.566 7.566 7.566 Å, 60.00 60.00 60.00°
Last column: magnetic moment on the atom in μB.
Sites, in units of the cell vectors:
K1 0.750 0.750 0.750  0.00
K2 0.250 0.250 0.250  0.00
Li1 0.000 0.000 0.000  0.00
Ta1 0.500 0.500 0.500  1.37
Br1 0.254 0.746 0.746  0.01
Br2 0.254 0.746 0.254  0.01
Br3 0.746 0.254 0.254  0.01
Br4 0.746 0.746 0.254  0.01
Br5 0.254 0.254 0.746  0.01
Br6 0.746 0.254 0.746  0.01

Values from the calculation:
Crystal system = cubic
ΔE_f (raw) = -1.21 eV per atom
Calculated total energy = -38.1 eV per cell
Space-group type = Fm-3m (225)

=====

Record 9
Compound: Ac2TlPt
Source: Alexandria
Functional: PBE
Structure: relaxed

Cell: 4.399 4.399 8.513 Å, 90.01 90.00 120.01°
Sites, in units of the cell vectors:
Ac1 0.667 0.833 0.800
Ac2 0.333 0.167 0.200
Tl1 0.000 0.500 0.500
Pt1 0.000 0.500 0.000

Values from the calculation:
Crystal system = trigonal
Calculated total energy = -19.5 eV per cell
Space-group type = P-3m1 (164)
E_form = -2.9 eV/f.u.

=====

Record 10
Compound: Th4Tc2Pt
Source: Alexandria
Functional: PBE
Structure: relaxed

Cell: 7.704 7.726 7.721 Å, 108.74 108.63 111.02°
Sites, in units of the cell vectors:
Th1 0.135 0.766 0.750
Th2 0.736 0.486 0.870
Th3 0.012 0.386 0.252
Th4 0.616 0.866 0.629
Th5 0.237 0.985 0.371
Th6 0.616 0.864 0.129
Th7 0.135 0.266 0.750
Th8 0.510 0.384 0.248
Tc1 0.236 0.624 0.111
Tc2 0.517 0.125 0.892
Tc3 0.876 0.764 0.390
Tc4 0.375 0.483 0.608
Pt1 0.748 0.250 0.498
Pt2 0.000 0.002 0.002

Values from the calculation:
Crystal system = monoclinic
Calculated total energy = -118.7 eV per cell
Space-group type = Cc (9)
E_form = -2.9 eV/f.u.

=====

Record 11
Compound: TcHg2P
Source: Alexandria
Functional: PBE
Structure: relaxed

Cell: 7.819 7.819 7.819 Å, 159.11 151.65 35.48°
Last column: magnetic moment on the atom in μB.
Sites, in units of the cell vectors:
Tc1 0.000 0.500 0.500  0.07
Hg1 0.821 0.821 0.000  0.00
Hg2 0.179 0.179 0.000  0.00
P1 0.500 0.000 0.500  0.00

Values from the calculation:
Crystal system = orthorhombic
Calculated total energy = -15.8 eV per cell
Space-group type = Immm (71)
E_form = 0.6 eV/f.u.

=====

Record 12
Compound: Y8Tm4Th
Source: Alexandria
Functional: PBE
Structure: relaxed

Cell: 6.870 6.870 11.318 Å, 90.00 107.67 120.00°
Sites, in units of the cell vectors:
Y1 0.602 0.801 0.403
Y2 0.398 0.199 0.597
Y3 0.502 0.251 0.263
Y4 0.988 0.239 0.737
Y5 0.498 0.749 0.737
Y6 0.988 0.749 0.737
Y7 0.012 0.251 0.263
Y8 0.012 0.761 0.263
Tm1 0.000 0.000 0.000
Tm2 0.000 0.500 0.000
Tm3 0.500 0.500 0.000
Tm4 0.500 0.000 0.000
Th1 0.000 0.500 0.500

Values from the calculation:
Crystal system = trigonal
Calculated total energy = -73.3 eV per cell
Space-group type = R-3m (166)
E_form = 3.7 eV/f.u.